(1)
## Sr5Pa3P8 (PBE)

Data for crystalline Sr5Pa3P8 at its relaxed geometry.

Summary:
Space group   R-3m
DFT total energy   -6.217 eV per atom
Magnetization   0.19 μB/f.u.

Cell lengths 8.404, 8.404, 8.447 Å; angles 60.17, 60.17, 60.00 degrees
Last column: magnetic moment on the atom in μB.
Fractional positions:
P: 0.238 0.238 0.287  0.00
P: 0.750 0.216 0.284  0.00
P: 0.250 0.784 0.716  0.00
P: 0.216 0.750 0.284  0.00
P: 0.762 0.762 0.713  0.00
P: 0.750 0.750 0.284  0.00
P: 0.784 0.250 0.716  0.00
P: 0.250 0.250 0.716  0.00
Sr: 0.000 0.500 0.000  0.00
Sr: 0.500 0.500 0.500  0.00
Sr: 0.500 0.000 0.000  0.00
Sr: 0.500 0.500 0.000  0.00
Sr: 0.000 0.000 0.000  0.00
Pa: 0.000 0.500 0.500  0.05
Pa: 0.500 0.000 0.500  0.05
Pa: 0.000 0.000 0.500  0.05

---

(2)
## Sr2PaP3 (PBE)

Data for crystalline Sr2PaP3 at its relaxed geometry.

Summary:
Space group   C2/m
DFT total energy   -6.079 eV per atom
Magnetization   0.00 μB/f.u.

Cell lengths 7.330, 7.330, 7.380 Å; angles 99.59, 99.59, 120.00 degrees
Fractional positions:
Sr: 0.333 0.667 0.000
Sr: 0.495 0.505 0.500
Sr: 0.172 0.828 0.500
Sr: 0.833 0.167 0.500
P: 0.899 0.593 0.782
P: 0.260 0.232 0.782
P: 0.407 0.101 0.218
P: 0.046 0.379 0.218
P: 0.621 0.954 0.782
P: 0.768 0.740 0.218
Pa: 0.001 0.999 0.000
Pa: 0.666 0.334 0.000

---

(3)
## SrPa2P4 (PBE)

Data for crystalline SrPa2P4 at its relaxed geometry.

Summary:
Space group   I-42d
DFT total energy   -7.139 eV per atom
Magnetization   0.00 μB/f.u.

Cell lengths 7.353, 7.353, 7.353 Å; angles 109.40, 109.62, 109.40 degrees
Fractional positions:
Sr: 0.750 0.500 0.250
Sr: 0.000 0.000 0.000
Pa: 0.511 0.386 0.625
Pa: 0.239 0.614 0.125
Pa: 0.375 0.886 0.761
Pa: 0.875 0.114 0.489
P: 0.604 0.758 0.527
P: 0.277 0.258 0.854
P: 0.595 0.742 0.018
P: 0.146 0.423 0.405
P: 0.473 0.077 0.232
P: 0.155 0.923 0.396
P: 0.982 0.577 0.723
P: 0.768 0.242 0.845

---

(4)
## SrPaP2 (PBE)

Data for crystalline SrPaP2 at its relaxed geometry.

Summary:
Relative energy among the computed polymorphs   0.108 eV per atom
Space group   R3m
DFT total energy   -6.611 eV per atom
Magnetization   0.74 μB/f.u.

Cell lengths 4.096, 4.096, 7.542 Å; angles 74.24, 74.24, 60.00 degrees
Last column: magnetic moment on the atom in μB.
Fractional positions:
Pa: 0.669 0.669 0.992  0.54
P: 0.263 0.263 0.211  -0.02
P: 0.072 0.072 0.784  -0.02
Sr: 0.496 0.496 0.513  0.02

---

no.,energy relative to the elements (eV per atom)
1,-1.21
2,-1.23
3,-1.09
4,-1.11